Record 1
The following is a DFT calculation (PBE-GGA) of a geometry-optimized LiPr12Ga6 structure.

Cell lengths 9.106, 9.106, 9.106 Å; angles 110.56, 110.56, 110.56 degrees
Positions (direct):
Li (0.000, 0.000, 0.000)
Pr (0.078, 0.179, 0.726)
Pr (0.179, 0.726, 0.078)
Pr (0.186, 0.368, 0.496)
Pr (0.274, 0.922, 0.821)
Pr (0.368, 0.496, 0.186)
Pr (0.496, 0.186, 0.368)
Pr (0.504, 0.814, 0.632)
Pr (0.632, 0.504, 0.814)
Pr (0.726, 0.078, 0.179)
Pr (0.814, 0.632, 0.504)
Pr (0.821, 0.274, 0.922)
Pr (0.922, 0.821, 0.274)
Ga (0.078, 0.585, 0.341)
Ga (0.341, 0.078, 0.585)
Ga (0.415, 0.659, 0.922)
Ga (0.585, 0.341, 0.078)
Ga (0.659, 0.922, 0.415)
Ga (0.922, 0.415, 0.659)

Output
- E_form: -0.22 eV per atom

***

Record 2
The following is a DFT calculation (PBE-GGA) of a geometry-optimized LiPr2Ga7 structure.

Cell lengths 4.289, 4.289, 10.935 Å; angles 90.00, 90.00, 90.00 degrees
Positions (direct):
Li (0.000, 0.000, 0.000)
Pr (0.000, 0.500, 0.748)
Pr (0.500, 0.000, 0.252)
Ga (0.000, 0.000, 0.500)
Ga (0.000, 0.500, 0.133)
Ga (0.000, 0.500, 0.361)
Ga (0.500, 0.000, 0.639)
Ga (0.500, 0.000, 0.867)
Ga (0.500, 0.500, 0.000)
Ga (0.500, 0.500, 0.500)

Output
- E_form: -0.49 eV per atom

***

Record 3
The following is a DFT calculation (PBE-GGA) of a geometry-optimized LiPr2Ga structure.

Cell lengths 5.236, 5.236, 3.862 Å; angles 90.00, 90.00, 90.00 degrees
Positions (direct):
Li (0.000, 0.000, 0.000)
Pr (0.000, 0.500, 0.500)
Pr (0.500, 0.000, 0.500)
Ga (0.500, 0.500, 0.000)

Output
- E_form: -0.27 eV per atom

***

no.,DOS(E_F) (states/eV/f.u.)
1,22.6
2,2.0
3,4.2